BaHo2ReO8 | PBE | optimized geometry

Cell lengths 4.8384, 5.0545, 7.3341 Å; angles 90.37, 91.33, 90.49 degrees
Fractional coordinates of all 12 atoms:
Ba (0.0000, 0.0000, 0.0000)
Ho (0.4937, 0.4977, 0.7332)
Ho (0.5063, 0.5023, 0.2668)
Re (0.0000, 0.0000, 0.5000)
O (0.2089, 0.8341, 0.3195)
O (0.2258, 0.8538, 0.6870)
O (0.2506, 0.3011, 0.4927)
O (0.2680, 0.4664, 0.9991)
O (0.7320, 0.5336, 0.0009)
O (0.7494, 0.6989, 0.5073)
O (0.7742, 0.1462, 0.3130)
O (0.7911, 0.1659, 0.6805)

## Properties
- Space group: No. 2
- E_tot: -7.724 eV per atom
- Density of states at the Fermi level: 1.2 states/eV/cell
- Formation energy without anion corrections: -2.458 eV/atom


BaPr4S6 | PBE | optimized geometry

Cell lengths 7.1362, 7.1362, 21.1282 Å; angles 90.00, 90.00, 146.23 degrees
Fractional coordinates of all 22 atoms:
Ba (0.1575, 0.8425, 0.7500)
Ba (0.8425, 0.1575, 0.2500)
Pr (0.0959, 0.9041, 0.1290)
Pr (0.0959, 0.9041, 0.3710)
Pr (0.3631, 0.6369, 0.0409)
Pr (0.3631, 0.6369, 0.4591)
Pr (0.6369, 0.3631, 0.5409)
Pr (0.6369, 0.3631, 0.9591)
Pr (0.9041, 0.0959, 0.6290)
Pr (0.9041, 0.0959, 0.8710)
S (0.0000, 0.0000, 0.0000)
S (0.0000, 0.0000, 0.5000)
S (0.1740, 0.8260, 0.2500)
S (0.2690, 0.7310, 0.5862)
S (0.2690, 0.7310, 0.9138)
S (0.4598, 0.5402, 0.1597)
S (0.4598, 0.5402, 0.3403)
S (0.5402, 0.4598, 0.6597)
S (0.5402, 0.4598, 0.8403)
S (0.7310, 0.2690, 0.0862)
S (0.7310, 0.2690, 0.4138)
S (0.8260, 0.1740, 0.7500)

## Properties
- Space group: No. 63
- E_tot: -6.207 eV per atom
- Density of states at the Fermi level: 7.0 states/eV/cell
- Formation energy without anion corrections: -2.043 eV/atom


AlGa2Hg2 | PBE | optimized geometry

Cell lengths 6.9188, 6.9188, 4.6182 Å; angles 90.00, 90.00, 90.00 degrees
Fractional coordinates of all 10 atoms:
Al (0.0000, 0.0000, 0.0000)
Al (0.5000, 0.5000, 0.0000)
Ga (0.1348, 0.3652, 0.0000)
Ga (0.3652, 0.8652, 0.0000)
Ga (0.6348, 0.1348, 0.0000)
Ga (0.8652, 0.6348, 0.0000)
Hg (0.1813, 0.6813, 0.5000)
Hg (0.3187, 0.1813, 0.5000)
Hg (0.6813, 0.8187, 0.5000)
Hg (0.8187, 0.3187, 0.5000)

## Properties
- Space group: No. 127
- Formation enthalpy at 0 K: 131 meV per atom
- E_tot: -1.949 eV per atom
- Density of states at the Fermi level: 4.0 states/eV/cell
- Offset from the most stable computed form: 0.0 kJ/mol of atoms


Which of these has the highest E_tot? AlGa2Hg2


What is the E_tot in the second record? -6.207 eV per atom